# 1
VASP calculation (GGA-PBE) on crystalline HgHPd3 at its relaxed geometry.

Properties
Total magnetization ... 1.0 μB/f.u.
Theoretical density ... 6.4 g/cm3
Offset from the most stable computed form ... 152.82 kJ/mol of atoms

Lattice parameters (Å, degrees): 5.138 5.138 5.138 90.00 90.00 90.00
Space group Pm-3m (No. 221)
One atom of each set of equivalent atoms:
Hg  0.000  0.000  0.000 (multiplicity 1)
H  0.500  0.500  0.500 (multiplicity 1)
Pd  0.000  0.000  0.500 (multiplicity 3)


# 2
VASP calculation (GGA-PBE) on crystalline HgHPd3 at its relaxed geometry.

Properties
Total magnetization ... 0.0 μB/f.u.
Theoretical density ... 8.8 g/cm3
Offset from the most stable computed form ... 40.77 kJ/mol of atoms

Lattice parameters (Å, degrees): 3.825 3.825 6.712 90.00 90.00 90.00
Space group P4mm (No. 99)
One atom of each set of equivalent atoms:
Hg  0.000  0.000  0.000 (multiplicity 1)
H  0.500  0.500  0.323 (multiplicity 1)
Pd  0.000  0.000  0.606 (multiplicity 1)
Pd  0.000  0.500  0.318 (multiplicity 2)


# 3
VASP calculation (GGA-PBE) on crystalline Hg2H2Pd5 at its relaxed geometry.

Properties
Total magnetization ... 0.0 μB/f.u.
Theoretical density ... 11.7 g/cm3
DFT total energy ... -3.83 eV per atom

Lattice parameters (Å, degrees): 5.730 5.743 9.011 108.44 108.39 90.24
Space group P-1 (No. 2)
One atom of each set of equivalent atoms:
Hg  0.130  0.117  0.261 (multiplicity 2)
Hg  0.369  0.357  0.739 (multiplicity 2)
H  0.000  0.500  0.000 (multiplicity 1)
H  0.251  0.712  0.499 (multiplicity 2)
H  0.500  0.000  0.000 (multiplicity 1)
Pd  0.000  0.500  0.500 (multiplicity 1)
Pd  0.130  0.629  0.257 (multiplicity 2)
Pd  0.250  0.249  0.999 (multiplicity 2)
Pd  0.250  0.751  0.000 (multiplicity 2)
Pd  0.372  0.872  0.742 (multiplicity 2)
Pd  0.500  0.500  0.500 (multiplicity 1)


# 4
VASP calculation (GGA-PBE) on crystalline HgHPd3 at its relaxed geometry.

Properties
Total magnetization ... 0.0 μB/f.u.
Theoretical density ... 12.0 g/cm3
Offset from the most stable computed form ... 14.75 kJ/mol of atoms

Lattice parameters (Å, degrees): 3.0357 3.0357 18.0425 90.00 90.00 120.00
Space group P6_3/mmc (No. 194)
One atom of each set of equivalent atoms:
Hg  0.0000  0.0000  0.0000 (multiplicity 2)
H  0.3333  0.6667  0.2500 (multiplicity 2)
Pd  0.0000  0.0000  0.2500 (multiplicity 2)
Pd  0.3333  0.6667  0.1236 (multiplicity 4)


# 5
VASP calculation (GGA-PBE) on crystalline HgH3Pd3 at its relaxed geometry.

Properties
Total magnetization ... 0.0 μB/f.u.
Theoretical density ... 11.1 g/cm3
Offset from the most stable computed form ... 3.48 kJ/mol of atoms

Lattice parameters (Å, degrees): 5.382 5.382 5.382 90.00 90.00 90.00
Space group Pm-3n (No. 223)
One atom of each set of equivalent atoms:
Hg  0.000  0.000  0.000 (multiplicity 2)
H  0.000  0.250  0.500 (multiplicity 6)
Pd  0.000  0.500  0.250 (multiplicity 6)


# 6
VASP calculation (GGA-PBE) on crystalline HgH5Pd8 at its relaxed geometry.

Properties
Total magnetization ... 0.0 μB/f.u.
Theoretical density ... 10.9 g/cm3
DFT total energy ... -4.29 eV per atom

Lattice parameters (Å, degrees): 2.977 7.174 7.708 90.10 101.08 90.12
Space group P1 (No. 1)
One atom of each set of equivalent atoms:
Hg  0.000  0.000  0.000 (multiplicity 1)
H  0.213  0.092  0.423 (multiplicity 1)
H  0.224  0.596  0.446 (multiplicity 1)
H  0.342  0.276  0.680 (multiplicity 1)
H  0.552  0.573  0.104 (multiplicity 1)
H  0.783  0.908  0.567 (multiplicity 1)
Pd  0.109  0.667  0.219 (multiplicity 1)
Pd  0.221  0.337  0.445 (multiplicity 1)
Pd  0.337  0.007  0.674 (multiplicity 1)
Pd  0.442  0.672  0.886 (multiplicity 1)
Pd  0.559  0.324  0.119 (multiplicity 1)
Pd  0.664  0.991  0.327 (multiplicity 1)
Pd  0.784  0.662  0.569 (multiplicity 1)
Pd  0.899  0.346  0.797 (multiplicity 1)


# 7
VASP calculation (GGA-PBE) on crystalline HgH2Pd3 at its relaxed geometry.

Properties
Total magnetization ... 0.0 μB/f.u.
Theoretical density ... 11.6 g/cm3
Offset from the most stable computed form ... 0.00 kJ/mol of atoms

Lattice parameters (Å, degrees): 9.780 6.053 5.040 90.00 90.00 90.00
Space group Cmc2_1 (No. 36)
One atom of each set of equivalent atoms:
Hg  0.000  0.144  0.000 (multiplicity 4)
H  0.185  0.376  0.502 (multiplicity 8)
Pd  0.000  0.375  0.500 (multiplicity 4)
Pd  0.245  0.123  0.660 (multiplicity 8)


# 8
VASP calculation (GGA-PBE) on crystalline HgHPd3 at its relaxed geometry.

Properties
Total magnetization ... 0.0 μB/f.u.
Theoretical density ... 11.3 g/cm3
Offset from the most stable computed form ... 16.67 kJ/mol of atoms

Lattice parameters (Å, degrees): 4.990 7.788 7.902 90.00 90.00 90.00
Space group Pnma (No. 62)
One atom of each set of equivalent atoms:
Hg  0.000  0.000  0.000 (multiplicity 4)
H  0.004  0.250  0.493 (multiplicity 4)
Pd  0.020  0.074  0.341 (multiplicity 8)
Pd  0.201  0.250  0.676 (multiplicity 4)


# 9
VASP calculation (GGA-PBE) on crystalline Hg3H4Pd4 at its relaxed geometry.

Properties
Total magnetization ... 0.0 μB/f.u.
Theoretical density ... 11.6 g/cm3
DFT total energy ... -3.23 eV per atom

Lattice parameters (Å, degrees): 15.038 2.962 7.419 90.00 116.36 90.00
Space group C2/m (No. 12)
One atom of each set of equivalent atoms:
Hg  0.000  0.000  0.000 (multiplicity 2)
Hg  0.126  0.000  0.740 (multiplicity 4)
H  0.178  0.500  0.412 (multiplicity 4)
H  0.215  0.500  0.159 (multiplicity 4)
Pd  0.050  0.500  0.359 (multiplicity 4)
Pd  0.210  0.000  0.293 (multiplicity 4)


# 10
VASP calculation (GGA-PBE) on crystalline HgHPd3 at its relaxed geometry.

Properties
Total magnetization ... 0.0 μB/f.u.
Theoretical density ... 8.6 g/cm3
Offset from the most stable computed form ... 38.55 kJ/mol of atoms

Lattice parameters (Å, degrees): 2.766 5.377 13.573 90.00 90.00 90.00
Space group Amm2 (No. 38)
One atom of each set of equivalent atoms:
Hg  0.000  0.000  0.000 (multiplicity 2)
H  0.500  0.000  0.668 (multiplicity 2)
Pd  0.000  0.245  0.181 (multiplicity 4)
Pd  0.500  0.000  0.824 (multiplicity 2)


# 11
VASP calculation (GGA-PBE) on crystalline Hg3HPd6 at its relaxed geometry.

Properties
Total magnetization ... 0.0 μB/f.u.
Theoretical density ... 13.0 g/cm3
DFT total energy ... -3.64 eV per atom

Lattice parameters (Å, degrees): 7.602 4.777 8.892 90.00 100.41 90.00
Space group P2_1/m (No. 11)
One atom of each set of equivalent atoms:
Hg  0.059  0.250  0.101 (multiplicity 2)
Hg  0.085  0.250  0.743 (multiplicity 2)
Hg  0.278  0.750  0.474 (multiplicity 2)
H  0.499  0.250  0.834 (multiplicity 2)
Pd  0.055  0.250  0.420 (multiplicity 2)
Pd  0.262  0.750  0.135 (multiplicity 2)
Pd  0.291  0.750  0.806 (multiplicity 2)
Pd  0.387  0.250  0.310 (multiplicity 2)
Pd  0.387  0.250  0.988 (multiplicity 2)
Pd  0.403  0.250  0.638 (multiplicity 2)


# 12
VASP calculation (GGA-PBE) on crystalline HgHPd4 at its relaxed geometry.

Properties
Total magnetization ... 0.0 μB/f.u.
Theoretical density ... 12.1 g/cm3
Offset from the most stable computed form ... 0.00 kJ/mol of atoms

Lattice parameters (Å, degrees): 4.903 4.969 7.510 109.16 94.56 90.06
Space group P-1 (No. 2)
One atom of each set of equivalent atoms:
Hg  0.250  0.180  0.000 (multiplicity 2)
H  0.000  0.500  0.500 (multiplicity 1)
H  0.500  0.000  0.500 (multiplicity 1)
Pd  0.220  0.952  0.605 (multiplicity 2)
Pd  0.233  0.558  0.794 (multiplicity 2)
Pd  0.268  0.765  0.206 (multiplicity 2)
Pd  0.279  0.348  0.395 (multiplicity 2)


# 13
VASP calculation (GGA-PBE) on crystalline HgHPd3 at its relaxed geometry.

Properties
Total magnetization ... 0.0 μB/f.u.
Theoretical density ... 12.2 g/cm3
Offset from the most stable computed form ... 7.40 kJ/mol of atoms

Lattice parameters (Å, degrees): 10.392 4.786 6.013 90.00 108.10 90.00
Space group C2/m (No. 12)
One atom of each set of equivalent atoms:
Hg  0.131  0.000  0.438 (multiplicity 4)
H  0.206  0.500  0.987 (multiplicity 4)
Pd  0.116  0.000  0.931 (multiplicity 4)
Pd  0.117  0.500  0.190 (multiplicity 4)
Pd  0.123  0.500  0.682 (multiplicity 4)


# 14
VASP calculation (GGA-PBE) on crystalline HgH2Pd2 at its relaxed geometry.

Properties
Total magnetization ... 0.0 μB/f.u.
Theoretical density ... 11.9 g/cm3
Offset from the most stable computed form ... 0.71 kJ/mol of atoms

Lattice parameters (Å, degrees): 3.325 3.325 10.478 90.00 90.00 90.00
Space group I4/mmm (No. 139)
One atom of each set of equivalent atoms:
Hg  0.000  0.000  0.000 (multiplicity 2)
H  0.000  0.500  0.250 (multiplicity 4)
Pd  0.000  0.000  0.339 (multiplicity 4)


# 15
VASP calculation (GGA-PBE) on crystalline HgHPd4 at its relaxed geometry.

Properties
Total magnetization ... 0.0 μB/f.u.
Theoretical density ... 11.6 g/cm3
Offset from the most stable computed form ... 5.29 kJ/mol of atoms

Lattice parameters (Å, degrees): 7.712 10.786 4.774 90.00 115.05 90.00
Space group C2/c (No. 15)
One atom of each set of equivalent atoms:
Hg  0.000  0.093  0.250 (multiplicity 4)
H  0.000  0.410  0.750 (multiplicity 4)
Pd  0.159  0.292  0.683 (multiplicity 8)
Pd  0.172  0.436  0.186 (multiplicity 8)


# 16
VASP calculation (GGA-PBE) on crystalline Hg2HPd8 at its relaxed geometry.

Properties
Total magnetization ... 0.0 μB/f.u.
Theoretical density ... 12.4 g/cm3
DFT total energy ... -4.24 eV per atom

Lattice parameters (Å, degrees): 4.745 4.945 7.572 70.99 89.98 89.86
Space group P1 (No. 1)
One atom of each set of equivalent atoms:
Hg  0.000  0.000  0.000 (multiplicity 1)
Hg  0.499  0.471  0.399 (multiplicity 1)
H  0.140  0.872  0.602 (multiplicity 1)
Pd  0.500  0.071  0.200 (multiplicity 1)
Pd  0.500  0.269  0.802 (multiplicity 1)
Pd  0.500  0.662  0.998 (multiplicity 1)
Pd  0.516  0.867  0.605 (multiplicity 1)
Pd  0.998  0.214  0.601 (multiplicity 1)
Pd  0.998  0.596  0.805 (multiplicity 1)
Pd  0.998  0.810  0.396 (multiplicity 1)
Pd  0.999  0.403  0.198 (multiplicity 1)


# 17
VASP calculation (GGA-PBE) on crystalline HgH6Pd12 at its relaxed geometry.

Properties
Total magnetization ... 0.0 μB/f.u.
Theoretical density ... 9.9 g/cm3
DFT total energy ... -4.23 eV per atom

Lattice parameters (Å, degrees): 10.2485 10.2485 8.2123 90.00 90.00 120.00
Space group R-3m (No. 166, hexagonal axes)
One atom of each set of equivalent atoms:
Hg  0.0000  0.0000  0.0000 (multiplicity 3)
H  0.1077  0.5539  0.4016 (multiplicity 18)
Pd  0.0000  0.3667  0.5000 (multiplicity 18)
Pd  0.0893  0.1786  0.3620 (multiplicity 18)


# 18
VASP calculation (GGA-PBE) on crystalline Hg2H4Pd5 at its relaxed geometry.

Properties
Total magnetization ... 0.0 μB/f.u.
Theoretical density ... 11.0 g/cm3
DFT total energy ... -3.71 eV per atom

Lattice parameters (Å, degrees): 4.991 5.432 5.786 66.64 87.04 80.16
Space group P-1 (No. 2)
One atom of each set of equivalent atoms:
Hg  0.200  0.155  0.361 (multiplicity 2)
H  0.246  0.811  0.966 (multiplicity 2)
H  0.325  0.363  0.801 (multiplicity 2)
Pd  0.013  0.732  0.224 (multiplicity 2)
Pd  0.500  0.000  0.000 (multiplicity 1)
Pd  0.500  0.500  0.000 (multiplicity 1)
Pd  0.500  0.500  0.500 (multiplicity 1)


# 19
VASP calculation (GGA-PBE) on crystalline HgHPd3 at its relaxed geometry.

Properties
Total magnetization ... 0.0 μB/f.u.
Theoretical density ... 11.7 g/cm3
Offset from the most stable computed form ... 18.28 kJ/mol of atoms

Lattice parameters (Å, degrees): 5.385 5.385 10.236 90.00 90.00 90.00
Space group I-4m2 (No. 119)
One atom of each set of equivalent atoms:
Hg  0.000  0.000  0.140 (multiplicity 4)
H  0.000  0.000  0.500 (multiplicity 2)
H  0.000  0.500  0.250 (multiplicity 2)
Pd  0.000  0.252  0.379 (multiplicity 8)
Pd  0.000  0.500  0.618 (multiplicity 4)


# 20
VASP calculation (GGA-PBE) on crystalline Hg3H2Pd at its relaxed geometry.

Properties
Total magnetization ... 0.0 μB/f.u.
Theoretical density ... 9.5 g/cm3
DFT total energy ... -2.13 eV per atom

Lattice parameters (Å, degrees): 7.0979 7.0979 5.7123 90.00 90.00 120.00
Space group P6_3/mmc (No. 194)
One atom of each set of equivalent atoms:
Hg  0.1925  0.3851  0.2500 (multiplicity 6)
H  0.3333  0.6667  0.6838 (multiplicity 4)
Pd  0.0000  0.0000  0.0000 (multiplicity 2)